Entry 1:
La4PmNd2Sc GGA-PBE optimized geometry; M_tot = 0.01 Bohr magnetons per cell; formation enthalpy at 0 K = -6 kJ/mol of atoms
1.0
-3.2044 1.2007 -4.9454
-4.8497 1.0427 3.3955
-2.8987 8.4149 3.9213
Pm Sc La Nd
1 1 4 2
Direct
0.5000 0.5000 0.0000 Pm
0.0000 0.5000 0.5000 Sc
0.0000 0.2363 0.2634 La
0.5000 0.2670 0.7327 La
0.0000 0.7637 0.7366 La
0.5000 0.7330 0.2673 La
0.0000 0.0000 0.0000 Nd
0.5000 0.0000 0.5000 Nd

***

Entry 2:
La4Pm2NdSc GGA-PBE optimized geometry; M_tot = 0.00 Bohr magnetons per cell; formation enthalpy at 0 K = -8 kJ/mol of atoms
1.0
6.1442 0.0002 0.0001
0.0003 5.8915 1.7494
0.0003 3.7575 8.9315
Sc Nd La Pm
1 1 4 2
Direct
0.0000 0.5000 0.5000 Sc
0.5000 0.5000 0.0000 Nd
0.5000 0.2678 0.7323 La
0.5000 0.7322 0.2677 La
0.0000 0.7646 0.7363 La
0.0000 0.2354 0.2637 La
0.0000 0.0000 0.0000 Pm
0.5000 0.0000 0.5000 Pm